P.
Ni5O4: relaxed, PBE+U.

Geometry as CIF:
```
data_Ni5O4
_chemical_formula_sum 'Ni5 O4'
_cell_length_a 5.109
_cell_length_b 5.109
_cell_length_c 5.109
_cell_angle_alpha 99.45
_cell_angle_beta 99.45
_cell_angle_gamma 132.20
_symmetry_space_group_name_H-M 'P 1'
_symmetry_Int_Tables_number 1
_symmetry_space_group_name_Hall 'P 1'
loop_
_atom_site_label
_atom_site_fract_x
_atom_site_fract_y
_atom_site_fract_z
Ni1 0.000 0.000 0.000
Ni2 0.207 0.597 0.804
Ni3 0.403 0.207 0.611
Ni4 0.597 0.793 0.389
Ni5 0.793 0.403 0.196
O1 0.104 0.303 0.406
O2 0.303 0.896 0.199
O3 0.697 0.104 0.801
O4 0.896 0.697 0.594
```

As for the total magnetization: 8.0 μB per cell.

=====

Q.
Ni5O4: relaxed, PBE+U.

Geometry as CIF:
```
data_Ni5O4
_chemical_formula_sum 'Ni5 O4'
_cell_length_a 4.570
_cell_length_b 4.570
_cell_length_c 4.570
_cell_angle_alpha 90.00
_cell_angle_beta 90.00
_cell_angle_gamma 90.00
_symmetry_space_group_name_H-M 'P 1'
_symmetry_Int_Tables_number 1
_symmetry_space_group_name_Hall 'P 1'
loop_
_atom_site_label
_atom_site_fract_x
_atom_site_fract_y
_atom_site_fract_z
Ni1 0.000 0.000 0.000
Ni2 0.283 0.283 0.717
Ni3 0.283 0.717 0.283
Ni4 0.717 0.283 0.283
Ni5 0.717 0.717 0.717
O1 0.272 0.272 0.272
O2 0.272 0.728 0.728
O3 0.728 0.272 0.728
O4 0.728 0.728 0.272
```

As for the total magnetization: 8.1 μB per cell.

=====

Energetically preferred structure: P | next structure: +43.6 kJ/mol of atoms